DFT (PBE) results for an optimized crystal structure of Dy8Ag2Rh.

The density of states at the Fermi level is 1.039 states/eV per atom. As for the uncorrected energy: -104.28 eV for the cell shown. The value obtained for the volume is 307.3 Å³/f.u. The energy of formation from the pure elements is -0.21 eV/atom.

CIF file:
```
data_Dy8Ag2Rh
_cell_length_a 7.512
_cell_length_b 16.002
_cell_length_c 6.032
_cell_angle_alpha 90.00
_cell_angle_beta 122.07
_cell_angle_gamma 90.00
_symmetry_space_group_name_H-M 'C 1 m 1'
_symmetry_Int_Tables_number 8
loop_
_symmetry_equiv_pos_as_xyz
'x,y,z'
'x,-y,z'
'x+1/2,y+1/2,z'
'x+1/2,-y+1/2,z'
loop_
_atom_site_label
_atom_site_type_symbol
_atom_site_fract_x
_atom_site_fract_y
_atom_site_fract_z
_atom_site_occupancy
Dy1 Dy 0.000 0.000 0.000 1
Dy2 Dy 0.001 0.114 0.478 1
Dy3 Dy 0.223 0.306 0.782 1
Dy4 Dy 0.452 0.000 0.633 1
Dy5 Dy 0.457 0.117 0.115 1
Ag1 Ag 0.222 0.219 0.281 1
Rh1 Rh 0.224 0.500 0.479 1
```


DFT (PBE) results for an optimized crystal structure of Dy2AgRh.

The density of states at the Fermi level is 0.628 states/eV per atom. As for the uncorrected energy: -63.99 eV for the cell shown. The value obtained for the volume is 100.5 Å³/f.u. The energy of formation from the pure elements is -0.48 eV/atom.

CIF file:
```
data_Dy2AgRh
_cell_length_a 4.0277
_cell_length_b 4.0277
_cell_length_c 21.4632
_cell_angle_alpha 90.00
_cell_angle_beta 90.00
_cell_angle_gamma 120.00
_symmetry_space_group_name_H-M 'R 3 m'
_symmetry_Int_Tables_number 160
_symmetry_space_group_name_Hall 'R 3 -2"'
loop_
_atom_site_label
_atom_site_type_symbol
_atom_site_fract_x
_atom_site_fract_y
_atom_site_fract_z
_atom_site_occupancy
Dy1 Dy 0.0000 0.0000 0.0000 1
Dy2 Dy 0.0000 0.0000 0.1935 1
Ag1 Ag 0.0000 0.0000 0.7612 1
Rh1 Rh 0.0000 0.0000 0.5982 1
```


DFT (PBE) results for an optimized crystal structure of Dy8AgRh2.

The density of states at the Fermi level is 1.192 states/eV per atom. As for the uncorrected energy: -115.66 eV for the cell shown. The value obtained for the volume is 299.1 Å³/f.u. The energy of formation from the pure elements is -0.31 eV/atom.

CIF file:
```
data_Dy8AgRh2
_cell_length_a 8.489
_cell_length_b 13.085
_cell_length_c 5.588
_cell_angle_alpha 90.00
_cell_angle_beta 105.45
_cell_angle_gamma 90.00
_symmetry_space_group_name_H-M 'C 1 m 1'
_symmetry_Int_Tables_number 8
loop_
_symmetry_equiv_pos_as_xyz
'x,y,z'
'x,-y,z'
'x+1/2,y+1/2,z'
'x+1/2,-y+1/2,z'
loop_
_atom_site_label
_atom_site_type_symbol
_atom_site_fract_x
_atom_site_fract_y
_atom_site_fract_z
_atom_site_occupancy
Dy1 Dy 0.000 0.000 0.000 1
Dy2 Dy 0.086 0.373 0.775 1
Dy3 Dy 0.177 0.127 0.606 1
Dy4 Dy 0.264 0.500 0.381 1
Dy5 Dy 0.382 0.239 0.191 1
Ag1 Ag 0.382 0.000 0.187 1
Rh1 Rh 0.382 0.302 0.691 1
```